Entry from Alexandria: a relaxed BaSrGe3 crystal (PBE-GGA).

Cell: 5.633 5.633 5.633 Å, 90.00 90.00 90.00°
Positions (direct):
Sr  0.000  0.000  0.000
Ge  0.000  0.500  0.000
Ge  0.000  0.000  0.500
Ge  0.500  0.000  0.000
Ba  0.500  0.500  0.500

Results
SG	Pm-3m (221)
V	35.8	Å³/atom
total energy	-3.114	eV per atom
ΔH_f (0 K)	377	meV per atom
E above lowest polymorph	915	meV per atom